(1)
# Hf4S

A relaxed Hf4S crystal (GGA-PBE, Alexandria via LeMat-Bulk).

Values from the calculation:
The value obtained for the magnetic moment is 0.00 μB/cell. The energy above the most stable polymorph in this dataset is 161.4 meV/atom. The calculation puts the density of states at the Fermi level at 4.45 states/eV/f.u. The formation energy from raw total energies comes out at -0.393 eV per atom. For the total DFT energy (no corrections), the calculation gives -45.91 eV per formula unit.

a = 4.786 Å, b = 4.786 Å, c = 4.786 Å
α = 90.00°, β = 90.00°, γ = 90.00°
Atoms (fractional coordinates):
Hf (0.500, 0.000, 0.500)
Hf (0.000, 0.500, 0.500)
S (0.500, 0.500, 0.500)
Hf (0.000, 0.000, 0.000)
Hf (0.500, 0.500, 0.000)



(2)
# Pr6TmHg5

A relaxed Pr6TmHg5 crystal (GGA-PBE, Alexandria via LeMat-Bulk).

Values from the calculation:
The value obtained for the magnetic moment is 0.01 μB/cell. The value obtained for the formation energy is -0.3509 eV/atom. The calculation puts the density of states at the Fermi level at 15.71 states/eV/f.u. For the total DFT energy (no corrections), the calculation gives -38.87 eV per formula unit.

a = 5.424 Å, b = 7.862 Å, c = 9.546 Å
α = 114.32°, β = 106.51°, γ = 90.00°
Atoms (fractional coordinates):
Hg (0.331, 0.331, 0.663)
Hg (0.649, 0.149, 0.299)
Pr (0.172, 0.917, 0.343)
Hg (0.000, 0.500, 0.000)
Pr (0.828, 0.573, 0.657)
Pr (0.500, 0.270, 0.000)
Tm (0.000, 0.000, 0.000)
Hg (0.669, 0.669, 0.337)
Pr (0.172, 0.427, 0.343)
Pr (0.828, 0.083, 0.657)
Pr (0.500, 0.730, 0.000)
Hg (0.351, 0.851, 0.701)



(3)
# Tl5SnHg5

A relaxed Tl5SnHg5 crystal (GGA-PBE, Alexandria via LeMat-Bulk).

Values from the calculation:
The value obtained for the magnetic moment is 0.00 μB/cell. The energy above the most stable polymorph in this dataset is 0.0 meV/atom. The value obtained for the formation energy is 0.0412 eV/atom. The calculation puts the density of states at the Fermi level at 3.28 states/eV/f.u. For the total DFT energy (no corrections), the calculation gives -16.89 eV per formula unit.

a = 6.068 Å, b = 7.936 Å, c = 7.900 Å
α = 104.61°, β = 90.00°, γ = 112.48°
Atoms (fractional coordinates):
Sn (0.000, 0.000, 0.000)
Tl (0.677, 0.355, 0.326)
Hg (0.168, 0.336, 0.315)
Hg (0.813, 0.626, 0.095)
Tl (0.608, 0.216, 0.709)
Tl (0.000, 0.000, 0.500)
Hg (0.500, 0.000, 0.000)
Tl (0.323, 0.645, 0.674)
Tl (0.392, 0.784, 0.291)
Hg (0.187, 0.374, 0.905)
Hg (0.832, 0.664, 0.685)



(4)
# ZnTeH

A relaxed ZnTeH crystal (GGA-PBE, Alexandria via LeMat-Bulk).

Values from the calculation:
The value obtained for the magnetic moment is 0.00 μB/cell. For the total DFT energy (no corrections), the calculation gives -8.41 eV per formula unit.

a = 4.223 Å, b = 4.607 Å, c = 9.813 Å
α = 103.94°, β = 97.64°, γ = 56.95°
Atoms (fractional coordinates):
Te (0.501, 0.074, 0.528)
H (0.771, 0.366, 0.221)
Te (0.504, 0.765, 0.905)
Zn (0.801, 0.474, 0.626)
Zn (0.802, 0.067, 0.808)
H (0.759, 0.205, 0.212)



(5)
# Ba3Cd2Sn2

A relaxed Ba3Cd2Sn2 crystal (GGA-PBE, Alexandria via LeMat-Bulk).

Values from the calculation:
The value obtained for the magnetic moment is 0.00 μB/cell. The value obtained for the formation energy is -0.5194 eV/atom. The calculation puts the density of states at the Fermi level at 3.33 states/eV/f.u. For the total DFT energy (no corrections), the calculation gives -19.24 eV per formula unit.

a = 5.352 Å, b = 6.868 Å, c = 8.144 Å
α = 106.32°, β = 90.00°, γ = 112.93°
Atoms (fractional coordinates):
Sn (0.969, 0.938, 0.669)
Ba (0.334, 0.669, 0.383)
Ba (0.666, 0.331, 0.617)
Ba (0.500, 0.000, 0.000)
Cd (0.194, 0.387, 0.934)
Cd (0.806, 0.613, 0.066)
Sn (0.031, 0.062, 0.331)



(6)
# TmTiCo

A relaxed TmTiCo crystal (GGA-PBE, Alexandria via LeMat-Bulk).

Values from the calculation:
The value obtained for the magnetic moment is 0.00 μB/cell. The energy above the most stable polymorph in this dataset is 138.9 meV/atom. The value obtained for the formation energy is -0.1238 eV/atom. The calculation puts the density of states at the Fermi level at 3.71 states/eV/f.u. For the total DFT energy (no corrections), the calculation gives -19.84 eV per formula unit.

a = 4.989 Å, b = 4.989 Å, c = 5.489 Å
α = 106.63°, β = 106.63°, γ = 111.72°
Atoms (fractional coordinates):
Co (0.750, 0.250, 0.500)
Co (0.250, 0.750, 0.500)
Tm (0.317, 0.683, 0.000)
Tm (0.683, 0.317, 0.000)
Ti (0.813, 0.813, 0.626)
Ti (0.187, 0.187, 0.374)



(7)
# ErSc2N3

A relaxed ErSc2N3 crystal (GGA-PBE, Alexandria via LeMat-Bulk).

Values from the calculation:
The value obtained for the magnetic moment is 0.00 μB/cell. The calculation puts the density of states at the Fermi level at 0.20 states/eV/f.u. The formation energy from raw total energies comes out at -1.834 eV per atom. For the total DFT energy (no corrections), the calculation gives -53.21 eV per formula unit.

a = 3.272 Å, b = 4.651 Å, c = 5.677 Å
α = 114.18°, β = 106.75°, γ = 90.00°
Atoms (fractional coordinates):
Sc (0.332, 0.832, 0.664)
N (0.326, 0.326, 0.652)
Er (0.000, 0.500, 0.000)
N (0.674, 0.674, 0.348)
Sc (0.668, 0.168, 0.336)
N (0.000, 0.000, 0.000)



(8)
# LaTbNd2Y2

A relaxed LaTbNd2Y2 crystal (GGA-PBE, Alexandria via LeMat-Bulk).

Values from the calculation:
The value obtained for the magnetic moment is 0.01 μB/cell. The value obtained for the formation energy is 0.2670 eV/atom. The calculation puts the density of states at the Fermi level at 11.57 states/eV/f.u. For the total DFT energy (no corrections), the calculation gives -30.42 eV per formula unit.

a = 3.423 Å, b = 6.665 Å, c = 18.295 Å
α = 90.00°, β = 90.00°, γ = 90.00°
Atoms (fractional coordinates):
Tb (0.500, 0.500, 0.000)
Y (0.500, 0.783, 0.353)
Tb (0.000, 0.000, 0.500)
La (0.500, 0.500, 0.500)
Nd (0.500, 0.279, 0.314)
Nd (0.000, 0.779, 0.186)
Nd (0.000, 0.221, 0.814)
Nd (0.500, 0.721, 0.686)
Y (0.000, 0.283, 0.147)
Y (0.500, 0.217, 0.647)
La (0.000, 0.000, 0.000)
Y (0.000, 0.717, 0.853)



(9)
# BeMoSe2Br

A relaxed BeMoSe2Br crystal (GGA-PBE, Alexandria via LeMat-Bulk).

Values from the calculation:
The value obtained for the magnetic moment is 3.10 μB/cell. The energy above the most stable polymorph in this dataset is 0.0 meV/atom. The calculation puts the density of states at the Fermi level at 3.61 states/eV/f.u. The formation energy from raw total energies comes out at 0.581 eV per atom. For the total DFT energy (no corrections), the calculation gives -20.30 eV per formula unit.

a = 4.720 Å, b = 4.720 Å, c = 4.537 Å
α = 90.00°, β = 90.00°, γ = 90.00°
Atoms (fractional coordinates):
Be (0.000, 0.000, 0.000)
Mo (0.500, 0.500, 0.500)
Se (0.000, 0.500, 0.000)
Br (0.000, 0.000, 0.500)
Se (0.500, 0.000, 0.000)



(10)
# DyBN2

A relaxed DyBN2 crystal (GGA-PBE, Alexandria via LeMat-Bulk).

Values from the calculation:
The value obtained for the magnetic moment is 0.00 μB/cell. The calculation puts the density of states at the Fermi level at 0.00 states/eV/f.u. The formation energy from raw total energies comes out at -1.385 eV per atom. For the total DFT energy (no corrections), the calculation gives -33.47 eV per formula unit.

a = 3.635 Å, b = 3.635 Å, c = 5.426 Å
α = 70.43°, β = 70.43°, γ = 60.00°
Atoms (fractional coordinates):
Dy (0.500, 0.500, 0.500)
B (0.000, 0.000, 0.000)
N (0.911, 0.911, 0.268)
N (0.089, 0.089, 0.732)